1.
Below is Sr2RePt after structural relaxation, with properties calculated at the PBE level.

Values from the calculation:
Total magnetization, μB per atom: 0.002
DOS(E_F), states/eV/cell: 7.00
Crystal system: monoclinic
Volume, Å³ per atom: 24.27
ΔH_f (0 K), eV per atom: 0.65
Energy relative to the lowest polymorph listed for this composition, eV per formula unit: 2.13

Geometry as POSCAR:
```
Sr2RePt
1.0
7.278 0.000 0.000
0.000 2.938 0.000
-0.792 0.000 9.080
Sr Re Pt
4 2 2
Direct
0.249 0.000 0.261
0.251 0.500 0.739
0.749 0.500 0.261
0.751 0.000 0.739
0.000 0.500 0.000
0.500 0.000 0.000
0.000 0.000 0.500
0.500 0.500 0.500
```



2.
Below is Pm2HoP3 after structural relaxation, with properties calculated at the PBE level.

Values from the calculation:
Total magnetization, μB per atom: 0.000
DOS(E_F), states/eV/cell: 1.54
Crystal system: monoclinic
Volume, Å³ per atom: 24.10
ΔH_f (0 K), eV per atom: -1.57

Geometry as POSCAR:
```
Pm2HoP3
1.0
3.538 -6.127 0.000
3.538 6.127 0.000
-2.357 0.000 6.670
Pm Ho P
4 2 6
Direct
0.000 0.000 0.000
0.166 0.834 0.500
0.500 0.500 0.500
0.834 0.166 0.500
0.333 0.667 0.000
0.667 0.333 0.000
0.082 0.419 0.244
0.257 0.257 0.756
0.419 0.082 0.244
0.581 0.918 0.756
0.743 0.743 0.244
0.918 0.581 0.756
```



3.
Below is ZrCrRe2 after structural relaxation, with properties calculated at the PBE level.

Values from the calculation:
Total magnetization, μB per atom: 0.001
DOS(E_F), states/eV/cell: 6.98
Crystal system: orthorhombic
Volume, Å³ per atom: 15.72
ΔH_f (0 K), eV per atom: 0.04
Energy relative to the lowest polymorph listed for this composition, eV per formula unit: 0.24

Geometry as POSCAR:
```
ZrCrRe2
1.0
3.133 0.000 0.000
0.000 4.506 0.000
0.000 0.000 8.909
Zr Cr Re
2 2 4
Direct
0.000 0.000 0.000
0.500 0.500 0.500
0.000 0.500 0.245
0.500 0.000 0.745
0.000 0.000 0.506
0.000 0.500 0.761
0.500 0.000 0.261
0.500 0.500 0.006
```



4.
Below is Co2PdAuN after structural relaxation, with properties calculated at the PBE level.

Values from the calculation:
Total magnetization, μB per atom: 0.631
DOS(E_F), states/eV/cell: 6.69
Crystal system: tetragonal
ΔE_f (raw), eV/atom: 0.14
Volume, Å³ per atom: 12.54

Geometry as POSCAR:
```
Co2PdAuN
1.0
3.845 0.000 0.000
0.000 3.845 0.000
0.000 0.000 4.243
Co Pd Au N
2 1 1 1
Direct
0.000 0.500 0.000
0.500 0.000 0.000
0.000 0.000 0.500
0.500 0.500 0.500
0.000 0.000 0.000
```



5.
Below is LiMg2CdIn2 after structural relaxation, with properties calculated at the PBE level.

Values from the calculation:
Total magnetization, μB per atom: 0.000
DOS(E_F), states/eV/cell: 5.23
Crystal system: orthorhombic
Volume, Å³ per atom: 22.16
ΔH_f (0 K), eV per atom: -0.13

Geometry as POSCAR:
```
LiMg2CdIn2
1.0
4.434 0.000 0.000
0.000 9.320 0.000
0.000 0.000 6.433
Li Mg Cd In
2 4 2 4
Direct
0.000 0.015 0.000
0.000 0.985 0.500
0.000 0.321 0.495
0.000 0.679 0.995
0.500 0.498 0.241
0.500 0.502 0.741
0.500 0.166 0.743
0.500 0.834 0.243
0.000 0.340 0.991
0.000 0.660 0.491
0.500 0.155 0.258
0.500 0.845 0.758
```



6.
Below is Nd3SmY7 after structural relaxation, with properties calculated at the PBE level.

Values from the calculation:
Total magnetization, μB per atom: 0.000
DOS(E_F), states/eV/cell: 17.73
Crystal system: monoclinic
Volume, Å³ per atom: 33.92
ΔH_f (0 K), eV per atom: 0.14
Energy relative to the lowest polymorph listed for this composition, eV per formula unit: 0.00

Geometry as POSCAR:
```
Nd3SmY7
1.0
6.986 0.000 0.000
0.000 5.582 0.000
-3.407 0.000 9.567
Nd Sm Y
3 1 7
Direct
0.000 0.000 0.000
0.282 0.500 0.498
0.718 0.500 0.502
0.500 0.000 0.000
0.000 0.000 0.500
0.146 0.500 0.787
0.318 0.500 0.136
0.420 0.000 0.329
0.580 0.000 0.671
0.682 0.500 0.864
0.854 0.500 0.213
```